# 1
First-principles (PBE-GGA) data for an optimized crystal structure of Nb3P, as listed in Alexandria via LeMat-Bulk.

Properties
DFT total energy: -74.29 eV/cell
density: 7.4 g/cm3
ΔH_f (0 K): -0.381 eV/atom

Lattice parameters (Å, degrees): 3.358 7.958 5.181 90.00 90.00 90.00
Space group Imm2 (No. 44)
One atom of each set of equivalent atoms:
Nb 0.000 0.000 0.000 x2
Nb 0.000 0.213 0.558 x4
P 0.000 0.500 0.870 x2


# 2
First-principles (PBE-GGA) data for an optimized crystal structure of NbP, as listed in Alexandria via LeMat-Bulk.

Properties
DFT total energy: -135.92 eV/cell
density: 6.5 g/cm3
ΔH_f (0 K): -0.755 eV/atom

Lattice parameters (Å, degrees): 4.736 5.800 9.275 90.00 90.00 90.00
Space group P2_12_12_1 (No. 19)
One atom of each set of equivalent atoms:
Nb 0.126 0.134 0.304 x4
Nb 0.138 0.372 0.936 x4
P 0.123 0.531 0.684 x4
P 0.142 0.939 0.053 x4


# 3
First-principles (PBE-GGA) data for an optimized crystal structure of NbP, as listed in Alexandria via LeMat-Bulk.

Properties
DFT total energy: -62.43 eV/cell
density: 4.7 g/cm3
ΔH_f (0 K): -0.063 eV/atom

Lattice parameters (Å, degrees): 5.594 5.594 5.594 90.00 90.00 90.00
Space group F-43m (No. 216)
One atom of each set of equivalent atoms:
Nb 0.000 0.000 0.000 x4
P 0.250 0.250 0.250 x4


# 4
First-principles (PBE-GGA) data for an optimized crystal structure of NbP, as listed in Alexandria via LeMat-Bulk.

Properties
DFT total energy: -69.95 eV/cell
density: 6.4 g/cm3
ΔH_f (0 K): -1.003 eV/atom

Lattice parameters (Å, degrees): 3.355 3.355 11.441 90.00 90.00 90.00
Space group I4_1md (No. 109)
One atom of each set of equivalent atoms:
Nb 0.000 0.000 0.000 x4
P 0.000 0.000 0.582 x4


# 5
First-principles (PBE-GGA) data for an optimized crystal structure of NbP, as listed in Alexandria via LeMat-Bulk.

Properties
DFT total energy: -207.05 eV/cell
density: 6.5 g/cm3
ΔH_f (0 K): -0.887 eV/atom

Lattice parameters (Å, degrees): 3.389 9.010 12.373 90.00 90.00 90.00
Space group Cmcm (No. 63)
One atom of each set of equivalent atoms:
Nb 0.000 0.075 0.109 x8
Nb 0.000 0.370 0.250 x4
P 0.000 0.335 0.750 x4
P 0.000 0.358 0.046 x8


# 6
First-principles (PBE-GGA) data for an optimized crystal structure of Nb3P, as listed in Alexandria via LeMat-Bulk.

Properties
DFT total energy: -35.73 eV/cell
density: 7.1 g/cm3
ΔH_f (0 K): -0.029 eV/atom

Lattice parameters (Å, degrees): 2.981 3.322 7.320 90.00 90.00 90.00
Space group Pmm2 (No. 25)
One atom of each set of equivalent atoms:
Nb 0.000 0.000 0.000 x1
Nb 0.000 0.500 0.318 x1
Nb 0.500 0.500 0.732 x1
P 0.500 0.000 0.476 x1


What did the sixth record say?
First-principles (PBE-GGA) data for an optimized crystal structure of Nb3P, as listed in Alexandria via LeMat-Bulk.

Properties
DFT total energy: -35.73 eV/cell
density: 7.1 g/cm3
ΔH_f (0 K): -0.029 eV/atom

Lattice parameters (Å, degrees): 2.981 3.322 7.320 90.00 90.00 90.00
Space group Pmm2 (No. 25)
One atom of each set of equivalent atoms:
Nb 0.000 0.000 0.000 x1
Nb 0.000 0.500 0.318 x1
Nb 0.500 0.500 0.732 x1
P 0.500 0.000 0.476 x1


- Which formula does entry 2 have?
  NbP


- What is the formula in the third record?
  NbP